No. 1
## K3SmEr2Te6 (PBE)

Data for an optimized crystal structure of K3SmEr2Te6.

Lattice parameters (Å, degrees): 7.7981 7.7981 8.6441 98.65 98.65 120.00
Atoms (fractional coordinates):
Sm: 0.0000 0.0000 0.0000
Er: 0.3331 0.6669 0.0000
Er: 0.6669 0.3331 0.0000
K: 0.8350 0.1650 0.5000
K: 0.5000 0.5000 0.5000
K: 0.1650 0.8350 0.5000
Te: 0.7295 0.7295 0.2084
Te: 0.2705 0.2705 0.7916
Te: 0.0697 0.4095 0.2088
Te: 0.4095 0.0697 0.2088
Te: 0.5905 0.9303 0.7912
Te: 0.9303 0.5905 0.7912

Computed properties:
- calculated total energy (eV/atom) = -4.390
- total magnetic moment (μB/f.u.) = 0.00
- V (Å³/atom) = 36.177

---

No. 2
## Zr2TaRe (PBE)

Data for an optimized crystal structure of Zr2TaRe.

Lattice parameters (Å, degrees): 5.6648 5.6648 4.8482 64.67 64.67 34.08
Atoms (fractional coordinates):
Zr: 0.2302 0.2302 0.2697
Zr: 0.0022 0.0022 0.9978
Re: 0.4909 0.4909 0.5092
Ta: 0.7766 0.7766 0.7233

Computed properties:
- energy relative to the lowest polymorph listed for this composition (kJ/mol of formula units) = 5
- calculated formation energy (eV/f.u.) = -0.48
- total magnetic moment (μB/f.u.) = 0.00
- V (Å³/atom) = 19.488